# NaMg2Hg6 | Alexandria | GGA-PBE | optimized geometry
data_NaMg2Hg6
_chemical_formula_sum 'Na1 Mg2 Hg6'
_space_group_name_H-M_alt 'P 1'
_space_group_IT_number 1
_cell_length_a 4.575
_cell_length_b 4.575
_cell_length_c 12.279
_cell_angle_alpha 100.74
_cell_angle_beta 100.74
_cell_angle_gamma 90.00
loop_
_space_group_symop_operation_xyz
'x,y,z'
loop_
_atom_site_label
_atom_site_fract_x
_atom_site_fract_y
_atom_site_fract_z
Hg1 0.750 0.250 0.500
Na1 0.000 0.000 0.000
Mg1 0.673 0.673 0.346
Hg2 0.905 0.405 0.810
Hg3 0.095 0.595 0.190
Hg4 0.405 0.905 0.810
Hg5 0.595 0.095 0.190
Mg2 0.327 0.327 0.654
Hg6 0.250 0.750 0.500
# Magnetic moment in μB per atom: 0.000
# ΔE_f in eV per formula unit: -0.70
# Mass density in g/cm3: 8.54
# Electronic total energy in eV/atom: -0.78

***

# VCd2CBr | Alexandria | GGA-PBE | optimized geometry
data_VCd2CBr
_chemical_formula_sum 'V1 Cd2 C1 Br1'
_space_group_name_H-M_alt 'P 1'
_space_group_IT_number 1
_cell_length_a 4.898
_cell_length_b 4.107
_cell_length_c 4.898
_cell_angle_alpha 90.00
_cell_angle_beta 90.00
_cell_angle_gamma 90.00
loop_
_space_group_symop_operation_xyz
'x,y,z'
loop_
_atom_site_label
_atom_site_fract_x
_atom_site_fract_y
_atom_site_fract_z
Cd1 0.500 0.000 0.000
Br1 0.500 0.500 0.500
C1 0.000 0.000 0.000
V1 0.000 0.500 0.000
Cd2 0.000 0.000 0.500
# Magnetic moment in μB per atom: 0.547
# Energy relative to the elements, uncorrected in eV/atom: 0.529
# Mass density in g/cm3: 6.20
# Electronic total energy in eV/atom: -3.84

***

# Sm6Tl5Ga | Alexandria | GGA-PBE | optimized geometry
data_Sm6Tl5Ga
_chemical_formula_sum 'Sm6 Tl5 Ga1'
_space_group_name_H-M_alt 'P 1'
_space_group_IT_number 1
_cell_length_a 6.722
_cell_length_b 9.572
_cell_length_c 7.553
_cell_angle_alpha 50.68
_cell_angle_beta 81.42
_cell_angle_gamma 76.39
loop_
_space_group_symop_operation_xyz
'x,y,z'
loop_
_atom_site_label
_atom_site_fract_x
_atom_site_fract_y
_atom_site_fract_z
Tl1 0.500 0.803 0.393
Sm1 0.732 0.779 0.000
Sm2 0.773 0.392 0.677
Sm3 0.268 0.221 0.000
Sm4 0.773 0.070 0.323
Sm5 0.227 0.930 0.677
Tl2 0.500 0.500 0.000
Tl3 0.000 0.355 0.291
Tl4 0.000 0.645 0.709
Tl5 0.500 0.197 0.607
Sm6 0.227 0.608 0.323
Ga1 0.000 0.000 0.000
# Magnetic moment in μB per atom: 0.000
# ΔE_f in eV per formula unit: -3.44
# Mass density in g/cm3: 9.06
# Electronic total energy in eV/atom: -3.88